one.
The following is a DFT calculation (PBE-GGA) of an optimized crystal structure of HfTh2Sc.

Structure (POSCAR):
```
HfTh2Sc
1.0
-0.828 -3.303 -4.160
3.595 -3.829 -1.149
-1.205 -5.167 0.869
Th Hf Sc
2 1 1
Cartesian
1.172 -9.224 -3.330
0.391 -3.075 -1.110
0.781 -6.149 -2.220
0.000 0.000 0.000
```

M_tot (μB per formula unit): 0.00
SG: Fm-3m, No. 225

***

two.
The following is a DFT calculation (PBE-GGA) of an optimized crystal structure of HfTh2Sc.

Structure (POSCAR):
```
HfTh2Sc
1.0
4.671 0.000 0.000
0.000 4.873 0.000
0.000 0.000 4.873
Th Sc Hf
2 1 1
Cartesian
0.000 0.000 2.436
0.000 2.436 0.000
2.336 0.000 0.000
2.336 2.436 2.436
```

M_tot (μB per formula unit): 0.00
SG: P4/mmm, No. 123

***

three.
The following is a DFT calculation (PBE-GGA) of an optimized crystal structure of HfTh2Sc.

Structure (POSCAR):
```
HfTh2Sc
1.0
-0.677 -3.197 -0.971
2.406 -2.402 0.248
-2.835 -4.232 9.925
Hf Th Sc
1 2 1
Cartesian
-1.663 -7.951 9.387
-0.267 -2.451 2.273
-1.989 -3.645 7.404
-0.574 -4.930 4.665
```

M_tot (μB per formula unit): 0.00
SG: R3m, No. 160

***

Referenced to the most stable arrangement, the calculated values in kJ/mol of atoms are one 1.8; two 0.0; three 3.7.

***

one.
The following is a DFT calculation (PBE-GGA) of an optimized crystal structure of HfThSc2.

Structure (POSCAR):
```
HfThSc2
1.0
-3.183 3.656 1.952
-4.544 1.041 -2.362
-4.500 -1.391 2.263
Hf Sc Th
1 2 1
Cartesian
-6.113 1.653 0.926
-3.057 0.827 0.463
-9.170 2.480 1.389
0.000 0.000 0.000
```

M_tot (μB per formula unit): 0.00
SG: Fm-3m, No. 225

***

two.
The following is a DFT calculation (PBE-GGA) of an optimized crystal structure of HfThSc2.

Structure (POSCAR):
```
HfThSc2
1.0
3.339 0.000 0.000
1.670 2.892 0.000
1.670 0.964 10.601
Sc Hf Th
2 1 1
Cartesian
1.670 0.964 7.784
1.670 0.964 2.812
3.339 1.928 5.284
3.339 1.928 0.022
```

M_tot (μB per formula unit): 0.00
SG: R3m, No. 160

***

Referenced to the most stable arrangement, the calculated values in kJ/mol of atoms are one 7.3; two 0.0.

***

one.
The following is a DFT calculation (PBE-GGA) of an optimized crystal structure of HfThSc2.

Structure (POSCAR):
```
HfThSc2
1.0
3.307 0.000 0.000
1.654 2.864 0.000
1.654 0.955 10.840
Sc Th Hf
2 1 1
Cartesian
4.961 2.864 8.315
1.654 0.955 2.525
3.307 1.909 5.420
0.000 0.000 0.000
```

M_tot (μB per formula unit): 0.00
SG: R-3m, No. 166

***

two.
The following is a DFT calculation (PBE-GGA) of an optimized crystal structure of HfThSc2.

Structure (POSCAR):
```
HfThSc2
1.0
-1.523 -1.926 -2.242
-0.280 -9.969 3.824
-4.646 2.137 3.787
Sc Hf Th
4 2 2
Cartesian
-2.660 0.500 1.832
-0.950 -1.246 -0.300
-3.522 -5.700 2.813
-1.891 -6.940 0.300
-2.586 -3.840 0.575
-2.827 -8.801 2.538
-4.122 -6.264 6.169
-4.414 -2.314 2.973
```

M_tot (μB per formula unit): 0.00
SG: Cmcm, No. 63

***

three.
The following is a DFT calculation (PBE-GGA) of an optimized crystal structure of HfThSc2.

Structure (POSCAR):
```
HfThSc2
1.0
3.840 0.000 0.000
0.000 3.840 0.000
0.000 0.000 6.898
Sc Hf Th
2 1 1
Cartesian
0.000 0.000 5.307
0.000 0.000 1.591
1.920 1.920 0.000
1.920 1.920 3.449
```

M_tot (μB per formula unit): 0.00
SG: P4/mmm, No. 123

***

Referenced to the most stable arrangement, the calculated values in kJ/mol of atoms are one 3.8; two 0.0; three 9.0.

***

one.
The following is a DFT calculation (PBE-GGA) of an optimized crystal structure of Hf2ThSc2.

Structure (POSCAR):
```
Hf2ThSc2
1.0
5.397 0.839 -0.588
0.953 5.378 -0.588
-0.705 -0.690 4.741
Th Sc Hf
1 2 2
Cartesian
0.000 0.000 0.000
0.124 2.344 2.077
2.346 0.075 2.077
3.244 3.176 3.357
2.402 2.352 0.208
```

M_tot (μB per formula unit): 0.00
SG: C2/m, No. 12

***

two.
The following is a DFT calculation (PBE-GGA) of an optimized crystal structure of Hf2ThSc2.

Structure (POSCAR):
```
Hf2ThSc2
1.0
-3.499 2.560 -7.623
-8.033 -0.749 3.436
0.133 3.151 0.998
Hf Th Sc
4 2 4
Cartesian
-3.696 3.172 -4.043
-8.241 3.184 -3.476
-3.159 1.779 0.286
-7.703 1.791 0.854
0.000 0.000 0.000
-5.766 0.906 -2.094
-5.404 -0.157 1.214
-9.237 0.929 -1.706
-2.295 0.882 -2.481
-6.128 1.968 -5.401
```

M_tot (μB per formula unit): 0.00
SG: P4/mbm, No. 127

***

Referenced to the most stable arrangement, the calculated values in kJ/mol of atoms are one 12.8; two 0.0.

***

one.
The following is a DFT calculation (PBE-GGA) of an optimized crystal structure of HfThSc3.

Structure (POSCAR):
```
HfThSc3
1.0
3.269 0.000 0.000
0.000 7.241 -2.990
0.000 -3.078 12.425
Sc Hf Th
6 2 2
Cartesian
2.452 3.128 3.551
0.817 1.035 5.885
0.817 4.078 6.217
2.452 -0.665 10.354
0.817 4.827 -0.918
2.452 0.085 3.218
2.452 -1.147 7.391
0.817 5.309 2.045
2.452 2.480 8.718
0.817 1.683 0.718
```

M_tot (μB per formula unit): 0.00
SG: P2_1/m, No. 11

***

two.
The following is a DFT calculation (PBE-GGA) of an optimized crystal structure of HfThSc3.

Structure (POSCAR):
```
HfThSc3
1.0
5.040 0.000 -0.001
0.000 6.659 0.000
0.000 0.000 7.854
Sc Hf Th
6 2 2
Cartesian
1.260 0.222 2.230
3.780 6.437 5.623
1.260 3.107 2.230
1.260 1.665 5.349
3.780 3.551 5.623
3.780 4.994 2.504
1.260 4.994 4.502
3.779 1.665 3.351
3.779 1.665 0.317
1.260 4.994 7.536
```

M_tot (μB per formula unit): 0.00
SG: Pmmn, No. 59

***

Referenced to the most stable arrangement, the calculated values in kJ/mol of atoms are one 0.0; two 1.8.

***

one.
The following is a DFT calculation (PBE-GGA) of an optimized crystal structure of HfSc2Ti2.

Structure (POSCAR):
```
HfSc2Ti2
1.0
7.922 0.000 0.000
0.000 7.922 0.000
0.000 0.000 3.320
Sc Hf Ti
4 2 4
Cartesian
2.592 1.369 1.660
5.330 6.553 1.660
6.553 2.592 1.660
1.369 5.330 1.660
0.000 0.000 0.000
3.961 3.961 0.000
6.951 4.932 0.000
2.990 6.951 0.000
0.971 2.990 0.000
4.932 0.971 0.000
```

M_tot (μB per formula unit): 0.00
SG: P4/mbm, No. 127

***

two.
The following is a DFT calculation (PBE-GGA) of an optimized crystal structure of HfSc2Ti2.

Structure (POSCAR):
```
HfSc2Ti2
1.0
-0.553 -0.594 -8.017
0.949 -7.985 0.526
-3.170 -0.360 0.245
Hf Sc Ti
2 4 4
Cartesian
0.198 -4.289 -3.746
0.000 0.000 0.000
0.113 -5.532 -6.661
-0.226 -1.394 -4.967
0.622 -7.184 -2.524
0.282 -3.047 -0.830
-1.602 -1.753 -2.411
-1.042 -5.654 -0.907
-1.732 -3.286 -6.338
-1.172 -7.186 -4.835
```

M_tot (μB per formula unit): 0.00
SG: P4/mbm, No. 127

***

Referenced to the most stable arrangement, the calculated values in kJ/mol of atoms are one 0.0; two 6.1.

***

one.
The following is a DFT calculation (PBE-GGA) of an optimized crystal structure of HfSc2Ti.

Structure (POSCAR):
```
HfSc2Ti
1.0
-0.868 1.087 2.832
-0.157 -1.965 2.463
9.318 1.692 3.966
Sc Ti Hf
2 1 1
Cartesian
1.989 0.186 2.296
6.984 1.213 3.434
-0.663 -0.581 3.535
4.128 0.403 4.626
```

M_tot (μB per formula unit): 0.00
SG: R3m, No. 160

***

two.
The following is a DFT calculation (PBE-GGA) of an optimized crystal structure of HfSc2Ti.

Structure (POSCAR):
```
HfSc2Ti
1.0
-0.561 1.323 -2.765
1.990 -0.420 -2.361
-4.776 -8.068 -4.648
Sc Hf Ti
2 1 1
Cartesian
-2.560 -5.453 -7.358
-0.786 -1.711 -2.415
-1.673 -3.582 -4.887
0.000 0.000 0.000
```

M_tot (μB per formula unit): 0.00
SG: R-3m, No. 166

***

Referenced to the most stable arrangement, the calculated values in kJ/mol of atoms are one 0.0; two 2.0.

***

one.
The following is a DFT calculation (PBE-GGA) of an optimized crystal structure of HfScTi.

Structure (POSCAR):
```
HfScTi
1.0
3.087 0.000 0.000
0.000 4.825 0.000
0.000 -2.413 4.179
Hf Sc Ti
1 1 1
Cartesian
2.058 2.413 1.393
0.515 0.000 0.000
0.514 0.000 2.786
```

M_tot (μB per formula unit): 0.01
SG: P-6m2, No. 187

***

two.
The following is a DFT calculation (PBE-GGA) of an optimized crystal structure of HfScTi.

Structure (POSCAR):
```
HfScTi
1.0
-2.324 0.551 2.043
2.822 -1.645 3.656
4.030 7.335 0.189
Sc Ti Hf
2 2 2
Cartesian
1.168 4.175 2.621
3.360 2.066 3.266
1.252 -0.168 3.889
3.276 6.410 1.999
1.288 1.135 1.160
3.240 5.107 4.727
```

M_tot (μB per formula unit): 0.00
SG: Cmcm, No. 63

***

Referenced to the most stable arrangement, the calculated values in kJ/mol of atoms are one 2.9; two 0.0.